(1)
The following is a PBE-GGA calculation of LiMg2H6Os after structural relaxation, from Alexandria.

Values from the calculation:
Calculated total energy   -0.2851 Ry/atom

abc: 4.6524 4.6524 5.3395
angles: 90.00 90.00 120.00
Closest atoms and distances in Å follow each position.
Space group P-3m1 (No. 164)
Unique sites:
Li: 0.0000 0.0000 0.0000 (multiplicity 1)  6 H 2.08
Mg: 0.3333 0.6667 0.3481 (multiplicity 2)  9 H 2.32-2.34
H: 0.1657 0.3313 0.7023 (multiplicity 6)  1 Os 1.72
Os: 0.0000 0.0000 0.5000 (multiplicity 1)  6 H 1.72

(2)
The following is a PBE-GGA calculation of NdThTlPd after structural relaxation, from Alexandria.

Values from the calculation:
Formation energy from the elements   -348 meV per atom
Calculated total energy   -0.3884 Ry/atom

abc: 7.5549 7.5549 7.5549
angles: 90.00 90.00 90.00
Closest atoms and distances in Å follow each position.
Space group F-43m (No. 216)
Unique sites:
Nd: 0.0000 0.0000 0.0000 (multiplicity 4)  4 Tl 3.27, 4 Pd 3.27
Th: 0.0000 0.0000 0.5000 (multiplicity 4)  4 Tl 3.27, 4 Pd 3.27
Tl: 0.2500 0.2500 0.2500 (multiplicity 4)  4 Th 3.27, 4 Nd 3.27
Pd: 0.2500 0.2500 0.7500 (multiplicity 4)  4 Th 3.27, 4 Nd 3.27

(3)
The following is a PBE-GGA calculation of Pr8Tl2Au3 after structural relaxation, from Alexandria.

Values from the calculation:
Formation energy from the elements   -300 meV per atom
Calculated total energy   -0.3205 Ry/atom

abc: 17.3049 7.4331 6.7112
angles: 90.00 97.15 90.00
Closest atoms and distances in Å follow each position.
Space group C2/m (No. 12)
Unique sites:
Pr: 0.0495 0.0000 0.2716 (multiplicity 4)  2 Au 2.99, 1 Tl 3.08
Pr: 0.1303 0.2525 0.8457 (multiplicity 8)  2 Au 3.06-3.18, 2 Tl 3.20-3.43
Pr: 0.1514 0.5000 0.3334 (multiplicity 4)  3 Au 3.23-3.27, 1 Tl 3.42
Tl: 0.2248 0.0000 0.2281 (multiplicity 4)  6 Pr 3.08-3.43
Au: 0.0000 0.3170 0.5000 (multiplicity 4)  1 Au 2.72, 2 Pr 2.99
Au: 0.0000 0.5000 0.0000 (multiplicity 2)  6 Pr 3.18-3.23